[1]
VASP calculation (PBE) on Cs2CeBeS4 after structural relaxation.

Cell: 7.373 7.373 9.725 Å, 90.00 90.00 90.00°
Space group I-4 (No. 82)
Inequivalent atoms, fractional coordinates:
Cs 0.000 0.000 0.000 (multiplicity 2)
Cs 0.000 0.500 0.250 (multiplicity 2)
Ce 0.000 0.000 0.500 (multiplicity 2)
Be 0.000 0.500 0.750 (multiplicity 2)
S 0.112 0.282 0.633 (multiplicity 8)

Calculated values
Crystal system: tetragonal



[2]
VASP calculation (PBE) on NaZr2Pt2 after structural relaxation.

Cell: 8.286 8.286 2.958 Å, 90.00 90.00 90.00°
Space group P4/mbm (No. 127)
Inequivalent atoms, fractional coordinates:
Na 0.000 0.000 0.000 (multiplicity 2)
Zr 0.150 0.350 0.000 (multiplicity 4)
Pt 0.144 0.644 0.500 (multiplicity 4)

Calculated values
Energy of formation from the pure elements (eV per atom): -0.6183
Crystal system: tetragonal



[3]
VASP calculation (PBE) on AcH4Ru after structural relaxation.

Cell: 9.891 4.802 6.051 Å, 90.00 114.18 90.00°
Space group C2/c (No. 15)
Inequivalent atoms, fractional coordinates:
Ac 0.000 0.249 0.250 (multiplicity 4)
H 0.064 0.251 0.904 (multiplicity 8)
H 0.250 0.001 0.749 (multiplicity 8)
Ru 0.250 0.250 0.000 (multiplicity 4)

Calculated values
Crystal system: monoclinic



[4]
VASP calculation (PBE) on SiHgTe2 after structural relaxation.

Cell: 3.8271 3.8271 26.3198 Å, 90.00 90.00 120.00°
Space group R3m (No. 160, hexagonal axes)
Inequivalent atoms, fractional coordinates:
Si 0.0000 0.0000 0.0000 (multiplicity 3)
Hg 0.0000 0.0000 0.7370 (multiplicity 3)
Te 0.0000 0.0000 0.2746 (multiplicity 3)
Te 0.0000 0.0000 0.4814 (multiplicity 3)

Calculated values
Crystal system: trigonal



[5]
VASP calculation (PBE) on Pm3Ge4Pd7 after structural relaxation.

Cell: 15.949 4.151 9.707 Å, 90.00 125.60 90.00°
Space group C2/m (No. 12)
Inequivalent atoms, fractional coordinates:
Pm 0.000 0.000 0.000 (multiplicity 2)
Pm 0.176 0.500 0.673 (multiplicity 4)
Ge 0.109 0.000 0.826 (multiplicity 4)
Ge 0.163 0.500 0.267 (multiplicity 4)
Pd 0.000 0.000 0.500 (multiplicity 2)
Pd 0.010 0.500 0.284 (multiplicity 4)
Pd 0.169 0.000 0.426 (multiplicity 4)
Pd 0.193 0.500 0.032 (multiplicity 4)

Calculated values
Energy of formation from the pure elements (eV per atom): -0.8349
Crystal system: monoclinic



[6]
VASP calculation (PBE) on Sn2BiPd7 after structural relaxation.

Cell: 7.366 13.343 4.508 Å, 90.00 90.00 90.00°
Space group Cmmm (No. 65)
Inequivalent atoms, fractional coordinates:
Sn 0.000 0.199 0.000 (multiplicity 4)
Bi 0.000 0.500 0.500 (multiplicity 2)
Pd 0.000 0.000 0.000 (multiplicity 2)
Pd 0.000 0.296 0.500 (multiplicity 4)
Pd 0.183 0.391 0.000 (multiplicity 8)

Calculated values
Energy of formation from the pure elements (eV per atom): -0.0514
Crystal system: orthorhombic



[7]
VASP calculation (PBE) on CuAg2OsPt after structural relaxation.

Cell: 4.997 4.997 4.563 Å, 90.00 90.00 90.00°
Space group P4/mmm (No. 123)
Inequivalent atoms, fractional coordinates:
Cu 0.000 0.000 0.000 (multiplicity 1)
Ag 0.000 0.500 0.500 (multiplicity 2)
Os 0.000 0.000 0.500 (multiplicity 1)
Pt 0.500 0.500 0.000 (multiplicity 1)

Calculated values
Energy of formation from the pure elements (eV per atom): 1.8149
Crystal system: tetragonal



[8]
VASP calculation (PBE) on La2BPd5 after structural relaxation.

Cell: 5.840 5.840 9.340 Å, 90.00 90.00 90.00°
Space group I4mm (No. 107)
Inequivalent atoms, fractional coordinates:
La 0.000 0.500 0.000 (multiplicity 4)
B 0.000 0.000 0.312 (multiplicity 2)
Pd 0.000 0.000 0.544 (multiplicity 2)
Pd 0.248 0.248 0.752 (multiplicity 8)

Calculated values
Energy of formation from the pure elements (eV per atom): -0.6721
Crystal system: tetragonal



no.,uncorrected energy (eV per atom)
1,-4.7396
2,-6.7177
3,-4.7942
4,-2.8289
5,-5.7686
6,-4.8751
7,-3.5989
8,-5.9842